Record 1
Below is crystalline MgCd8Ag6 at its relaxed geometry, with properties calculated at the PBE level.

For the volume, the calculation gives 21.84 Å³ per atom. The calculation puts the formation energy at -0.034 eV/atom. The calculation puts the density of states at the Fermi level at 0.43 states/eV per atom. For the total moment, the calculation gives 0.0 μB/f.u.

a = 8.120 Å, b = 8.120 Å, c = 7.410 Å
α = 56.78°, β = 56.78°, γ = 60.00°
Atoms (fractional coordinates):
Mg1 0.000 0.000 0.000
Cd1 0.548 0.210 0.365
Cd2 0.790 0.122 0.635
Cd3 0.122 0.452 0.635
Cd4 0.670 0.670 0.989
Cd5 0.330 0.330 0.011
Cd6 0.878 0.548 0.365
Cd7 0.210 0.878 0.365
Cd8 0.452 0.790 0.635
Ag1 0.375 0.049 0.860
Ag2 0.951 0.283 0.140
Ag3 0.283 0.625 0.140
Ag4 0.717 0.375 0.860
Ag5 0.049 0.717 0.860
Ag6 0.625 0.951 0.140

---

Record 2
Below is crystalline Rb2HgPdN at its relaxed geometry, with properties calculated at the PBE level.

For the volume, the calculation gives 30.41 Å³ per atom. The calculation puts the density of states at the Fermi level at 0.34 states/eV per atom. The uncorrected formation energy is 18 meV per atom. For the total moment, the calculation gives 0.0 μB/f.u.

a = 6.322 Å, b = 6.322 Å, c = 3.805 Å
α = 90.00°, β = 90.00°, γ = 90.00°
Atoms (fractional coordinates):
Rb1 0.000 0.500 0.000
Rb2 0.500 0.000 0.000
Hg1 0.500 0.500 0.500
Pd1 0.000 0.000 0.500
N1 0.000 0.000 0.000

---

Record 3
Below is crystalline Nb2RuPtN at its relaxed geometry, with properties calculated at the PBE level.

For the volume, the calculation gives 14.43 Å³ per atom. The calculation puts the density of states at the Fermi level at 0.59 states/eV per atom. The uncorrected formation energy is -540 meV per atom. For the total moment, the calculation gives 0.0 μB/f.u.

a = 4.217 Å, b = 4.217 Å, c = 4.057 Å
α = 90.00°, β = 90.00°, γ = 90.00°
Atoms (fractional coordinates):
Ru1 0.000 0.000 0.500
Nb1 0.000 0.500 0.000
Nb2 0.500 0.000 0.000
Pt1 0.500 0.500 0.500
N1 0.000 0.000 0.000